i) Ce2ZnN | PBE | relaxed

Its space-group type is No. 160. The value obtained for the density of states at the Fermi level is 7.5 states/eV/f.u.

Lattice parameters (Å, degrees): 3.5042 3.5042 8.0490 77.43 77.43 60.00
Element x y z (fractional)
Ce 0.0607 0.0607 0.8180
N 0.6664 0.6664 0.0009
Zn 0.5002 0.5002 0.4993
Ce 0.2728 0.2728 0.1817

***

ii) Ce2ZnN | PBE | relaxed

Its space-group type is No. 166. The value obtained for the density of states at the Fermi level is 7.7 states/eV/f.u.

Lattice parameters (Å, degrees): 3.5300 3.5300 8.0416 77.32 77.32 60.00
Each line ends with the local moment (μB).
Element x y z (fractional)
N 0.5000 0.5000 0.5000  -0.01
Ce 0.2270 0.2270 0.3191  0.40
Ce 0.7730 0.7730 0.6809  0.40
Zn 0.0000 0.0000 0.0000  0.03

***

iii) Ce2ZnN | PBE | relaxed

Its space-group type is No. 123. The value obtained for the density of states at the Fermi level is 5.3 states/eV/f.u.

Lattice parameters (Å, degrees): 3.0512 3.0512 7.6756 90.00 90.00 90.00
Element x y z (fractional)
N 0.5000 0.5000 0.0000
Ce 0.0000 0.0000 0.1919
Zn 0.5000 0.5000 0.5000
Ce 0.0000 0.0000 0.8081

***

Quick one: most stable of them? i)

***

i) CeZrN | PBE | relaxed

Its space-group type is No. 107. The value obtained for the density of states at the Fermi level is 5.8 states/eV/f.u.

Lattice parameters (Å, degrees): 3.1164 3.1164 7.0044 102.85 102.85 90.00
Each line ends with the local moment (μB).
Element x y z (fractional)
N 0.7663 0.7663 0.5325  0.00
Zr 0.2660 0.2660 0.5321  -0.01
Ce 0.9677 0.9677 0.9354  0.57

***

ii) CeZrN | PBE | relaxed

Its space-group type is No. 59. The value obtained for the density of states at the Fermi level is 3.7 states/eV/f.u.

Lattice parameters (Å, degrees): 3.2733 6.6304 5.1912 90.00 90.00 90.00
Element x y z (fractional)
Zr 0.2500 0.3671 0.2500
Ce 0.7500 0.1294 0.7500
Ce 0.2500 0.8706 0.2500
N 0.2500 0.8549 0.7500
N 0.7500 0.1451 0.2500
Zr 0.7500 0.6329 0.7500

***

Quick one: most stable of them? ii)

***

i) CeZrN | PBE | relaxed

Its space-group type is No. 156. The value obtained for the density of states at the Fermi level is 3.4 states/eV/f.u.

Lattice parameters (Å, degrees): 5.8886 3.3550 3.3550 120.00 90.00 90.00
Each line ends with the local moment (μB).
Element x y z (fractional)
Zr 0.1136 0.0000 0.0000  0.04
Ce 0.5754 0.3333 0.6667  0.62
N 0.3110 0.6667 0.3333  0.01

***

ii) CeZrN | PBE | relaxed

Its space-group type is No. 216. The value obtained for the density of states at the Fermi level is 5.2 states/eV/f.u.

Lattice parameters (Å, degrees): 4.1967 4.1967 4.1967 60.00 60.00 60.00
Each line ends with the local moment (μB).
Element x y z (fractional)
N 0.2500 0.2500 0.2500  -0.01
Zr 0.5000 0.5000 0.5000  0.23
Ce 0.0000 0.0000 0.0000  0.33

***

Quick one: most stable of them? i)

***

i) CeZr2N | PBE | relaxed

Its space-group type is No. 123. The value obtained for the density of states at the Fermi level is 7.0 states/eV/f.u.

Lattice parameters (Å, degrees): 2.9584 2.9584 8.3170 90.00 90.00 90.00
Element x y z (fractional)
Zr 0.0000 0.0000 0.8329
Ce 0.5000 0.5000 0.5000
Zr 0.0000 0.0000 0.1671
N 0.5000 0.5000 0.0000

***

ii) CeZr2N | PBE | relaxed

Its space-group type is No. 166. The value obtained for the density of states at the Fermi level is 4.8 states/eV/f.u.

Lattice parameters (Å, degrees): 3.2138 3.2138 9.0534 79.78 79.78 60.00
Each line ends with the local moment (μB).
Element x y z (fractional)
Zr 0.8816 0.8816 0.3551  0.00
Ce 0.0000 0.0000 0.0000  0.31
N 0.5000 0.5000 0.5000  0.00
Zr 0.1184 0.1184 0.6449  0.00

***

iii) CeZr2N | PBE | relaxed

Its space-group type is No. 160. The value obtained for the density of states at the Fermi level is 6.0 states/eV/f.u.

Lattice parameters (Å, degrees): 3.2618 3.2618 8.7165 79.22 79.22 60.00
Each line ends with the local moment (μB).
Element x y z (fractional)
Zr 0.2828 0.2828 0.1515  0.04
Ce 0.5003 0.5003 0.4990  0.44
N 0.6669 0.6669 0.9994  0.00
Zr 0.0500 0.0500 0.8501  0.02

***

Quick one: most stable of them? iii)

***

i) NaCePb | PBE | relaxed

Its space-group type is No. 216. The value obtained for the density of states at the Fermi level is 8.0 states/eV/f.u.

Lattice parameters (Å, degrees): 5.3133 5.3133 5.3133 60.00 60.00 60.00
Each line ends with the local moment (μB).
Element x y z (fractional)
Na 0.0000 0.0000 0.0000  0.00
Pb 0.2500 0.2500 0.2500  -0.02
Ce 0.5000 0.5000 0.5000  0.97

***

ii) NaCePb | PBE | relaxed

Its space-group type is No. 107. The value obtained for the density of states at the Fermi level is 7.8 states/eV/f.u.

Lattice parameters (Å, degrees): 3.4215 3.4215 8.3013 101.89 101.89 90.00
Each line ends with the local moment (μB).
Element x y z (fractional)
Pb 0.9498 0.9498 0.8995  -0.01
Na 0.6013 0.6013 0.2027  0.00
Ce 0.2989 0.2989 0.5978  1.07

***

iii) NaCePb | PBE | relaxed

Its space-group type is No. 166. The value obtained for the density of states at the Fermi level is 6.8 states/eV/f.u.

Lattice parameters (Å, degrees): 5.0505 5.0505 9.5105 74.60 74.60 60.00
Each line ends with the local moment (μB).
Element x y z (fractional)
Ce 0.7068 0.7068 0.8795  0.88
Pb 0.5779 0.5779 0.2662  -0.06
Na 0.1384 0.1384 0.5847  0.00
Ce 0.2932 0.2932 0.1205  0.88
Na 0.8616 0.8616 0.4153  0.00
Pb 0.4221 0.4221 0.7338  -0.06

***

Quick one: most stable of them? i)

***

i) NaCeSnPb | PBE | relaxed

Its space-group type is No. 47. The value obtained for the density of states at the Fermi level is 6.0 states/eV/f.u.

Lattice parameters (Å, degrees): 4.5480 4.8938 4.9958 90.00 90.00 90.00
Each line ends with the local moment (μB).
Element x y z (fractional)
Na 0.5000 0.0000 0.5000  0.00
Sn 0.0000 0.0000 0.0000  0.01
Ce 0.5000 0.5000 0.0000  0.84
Pb 0.0000 0.5000 0.5000  0.02

***

ii) NaCeSnPb | PBE | relaxed

Its space-group type is No. 216. The value obtained for the density of states at the Fermi level is 5.5 states/eV/f.u.

Lattice parameters (Å, degrees): 5.4287 5.4287 5.4287 60.00 60.00 60.00
Each line ends with the local moment (μB).
Element x y z (fractional)
Ce 0.0000 0.0000 0.0000  0.67
Sn 0.2500 0.2500 0.2500  0.00
Pb 0.7500 0.7500 0.7500  0.00
Na 0.5000 0.5000 0.5000  0.00

***

Quick one: most stable of them? i)

***

i) NaCePm | PBE | relaxed

Its space-group type is No. 8. The value obtained for the density of states at the Fermi level is 4.5 states/eV/f.u.

Lattice parameters (Å, degrees): 3.7846 3.7846 17.1708 77.42 77.42 59.57
Element x y z (fractional)
Na 0.4771 0.4771 0.2465
Ce 0.2425 0.2425 0.6055
Ce 0.5113 0.5113 0.7020
Pm 0.0687 0.0687 0.8744
Na 0.2750 0.2750 0.0607
Pm 0.6850 0.6850 0.4329

***

ii) NaCePm | PBE | relaxed

Its space-group type is No. 156. The value obtained for the density of states at the Fermi level is 5.6 states/eV/f.u.

Lattice parameters (Å, degrees): 3.4990 3.4990 9.3203 90.00 90.00 120.00
Each line ends with the local moment (μB).
Element x y z (fractional)
Pm 0.6667 0.3333 0.3471  -0.02
Na 0.0000 0.0000 0.0002  0.00
Ce 0.3333 0.6667 0.6527  0.77

***

Quick one: most stable of them? i)

***

i) NaCePm2 | PBE | relaxed

Its space-group type is No. 166. The value obtained for the density of states at the Fermi level is 7.3 states/eV/f.u.

Lattice parameters (Å, degrees): 4.2021 4.2021 10.4786 78.43 78.43 60.00
Element x y z (fractional)
Na 0.0000 0.0000 0.0000
Pm 0.1162 0.1162 0.6514
Pm 0.8838 0.8838 0.3486
Ce 0.5000 0.5000 0.5000

***

ii) NaCePm2 | PBE | relaxed

Its space-group type is No. 123. The value obtained for the density of states at the Fermi level is 5.3 states/eV/f.u.

Lattice parameters (Å, degrees): 3.5336 3.5336 10.6339 90.00 90.00 90.00
Each line ends with the local moment (μB).
Element x y z (fractional)
Na 0.5000 0.5000 0.5000  0.00
Ce 0.5000 0.5000 0.0000  0.21
Pm 0.0000 0.0000 0.2243  -0.01
Pm 0.0000 0.0000 0.7757  -0.01

***

Quick one: most stable of them? ii)

***

i) NaCe6S8 | PBE | relaxed

Its space-group type is No. 148. The value obtained for the density of states at the Fermi level is 37.0 states/eV/f.u.

Lattice parameters (Å, degrees): 8.4553 8.4553 7.5296 55.84 55.84 60.00
Each line ends with the local moment (μB).
Element x y z (fractional)
S 0.6370 0.1909 0.2685  -0.03
Ce 0.4617 0.0734 0.7626  1.03
Ce 0.0734 0.7022 0.7626  1.03
S 0.9036 0.6370 0.2685  -0.03
Ce 0.2978 0.5383 0.2374  1.03
S 0.1909 0.9036 0.2685  -0.03
Na 0.0000 0.0000 0.0000  0.00
S 0.0964 0.3630 0.7315  -0.03
S 0.3316 0.3316 0.0052  -0.03
S 0.8091 0.0964 0.7315  -0.03
Ce 0.7022 0.4617 0.7626  1.03
Ce 0.5383 0.9266 0.2374  1.03
S 0.6684 0.6684 0.9948  -0.03
S 0.3630 0.8091 0.7315  -0.03
Ce 0.9266 0.2978 0.2374  1.03

***

ii) NaCe6S8 | PBE | relaxed

Its space-group type is No. 225. The value obtained for the density of states at the Fermi level is 33.8 states/eV/f.u.

Lattice parameters (Å, degrees): 8.0239 8.0239 8.0239 60.00 60.00 60.00
Each line ends with the local moment (μB).
Element x y z (fractional)
S 0.2501 0.7499 0.2501  -0.03
Na 0.0000 0.0000 0.0000  0.00
S 0.7499 0.7499 0.2501  -0.03
Ce 0.5000 0.0000 0.5000  0.81
S 0.2501 0.7499 0.7499  -0.03
S 0.7499 0.2501 0.2501  -0.03
Ce 0.0000 0.0000 0.5000  0.81
S 0.2500 0.2500 0.2500  -0.04
S 0.7499 0.2501 0.7499  -0.03
S 0.7500 0.7500 0.7500  -0.04
Ce 0.0000 0.5000 0.5000  0.81
Ce 0.0000 0.5000 0.0000  0.81
S 0.2501 0.2501 0.7499  -0.03
Ce 0.5000 0.0000 0.0000  0.81
Ce 0.5000 0.5000 0.0000  0.81

***

Quick one: most stable of them? ii)

***

i) NaCeSb2 | PBE | relaxed

Its space-group type is No. 123. The value obtained for the density of states at the Fermi level is 5.3 states/eV/f.u.

Lattice parameters (Å, degrees): 4.2292 5.0567 5.0567 90.00 90.00 90.00
Each line ends with the local moment (μB).
Element x y z (fractional)
Sb 0.0000 0.5000 0.0000  -0.01
Ce 0.5000 0.5000 0.5000  0.51
Na 0.5000 0.0000 0.0000  0.00
Sb 0.0000 0.0000 0.5000  -0.01

***

ii) NaCeSb2 | PBE | relaxed

Its space-group type is No. 123. The value obtained for the density of states at the Fermi level is 4.9 states/eV/f.u.

Lattice parameters (Å, degrees): 4.0987 4.0987 6.9246 90.00 90.00 90.00
Each line ends with the local moment (μB).
Element x y z (fractional)
Sb 0.0000 0.0000 0.2747  -0.02
Ce 0.5000 0.5000 0.5000  0.60
Sb 0.0000 0.0000 0.7253  -0.02
Na 0.5000 0.5000 0.0000  0.00

***

iii) NaCeSb2 | PBE | relaxed

Its space-group type is No. 160. The value obtained for the density of states at the Fermi level is 4.4 states/eV/f.u.

Lattice parameters (Å, degrees): 4.7285 4.7285 7.0758 70.48 70.48 60.00
Each line ends with the local moment (μB).
Element x y z (fractional)
Sb 0.0862 0.0862 0.7413  0.00
Ce 0.6707 0.6707 0.9880  0.51
Sb 0.2505 0.2505 0.2484  0.00
Na 0.4925 0.4925 0.5224  0.00

***

Quick one: most stable of them? i)

***

i) NaCe2Se4 | PBE | relaxed

Its space-group type is No. 63. The value obtained for the density of states at the Fermi level is 8.7 states/eV/f.u.

Lattice parameters (Å, degrees): 4.2296 7.2050 14.1865 90.00 90.00 107.07
Each line ends with the local moment (μB).
Element x y z (fractional)
Ce 0.1342 0.2683 0.4276  0.56
Se 0.9553 0.9105 0.7500  -0.03
Ce 0.8658 0.7317 0.5724  0.56
Ce 0.1342 0.2683 0.0724  0.56
Na 0.3919 0.7839 0.2500  0.00
Se 0.2302 0.4604 0.8864  -0.03
Se 0.7698 0.5396 0.1136  -0.03
Se 0.5000 0.0000 0.0000  -0.03
Se 0.0447 0.0895 0.2500  -0.03
Se 0.2302 0.4604 0.6136  -0.03
Se 0.5000 0.0000 0.5000  -0.03
Se 0.7698 0.5396 0.3864  -0.03
Na 0.6081 0.2161 0.7500  0.00
Ce 0.8658 0.7317 0.9276  0.56

***

ii) NaCe2Se4 | PBE | relaxed

Its space-group type is No. 122. The value obtained for the density of states at the Fermi level is 9.5 states/eV/f.u.

Lattice parameters (Å, degrees): 7.6776 7.6776 7.6776 109.79 108.84 109.79
Each line ends with the local moment (μB).
Element x y z (fractional)
Se 0.4858 0.1000 0.2347  -0.04
Ce 0.8750 0.1163 0.4913  0.58
Ce 0.5087 0.3837 0.6250  0.58
Se 0.7653 0.2511 0.8654  -0.04
Na 0.7500 0.5000 0.2500  0.00
Ce 0.2413 0.6163 0.1250  0.58
Se 0.6142 0.7489 0.5142  -0.04
Na 0.0000 0.0000 0.0000  0.00
Se 0.9847 0.6000 0.7358  -0.04
Ce 0.3750 0.8837 0.7587  0.58
Se 0.6154 0.7511 0.0153  -0.04
Se 0.2642 0.2489 0.8642  -0.04
Se 0.1346 0.9000 0.3858  -0.04
Se 0.1358 0.4000 0.3846  -0.04

***

Quick one: most stable of them? ii)

***

i) NaCeSm2 | PBE | relaxed

Its space-group type is No. 166. The value obtained for the density of states at the Fermi level is 7.7 states/eV/f.u.

Lattice parameters (Å, degrees): 4.1981 4.1981 10.4676 78.43 78.43 60.00
Element x y z (fractional)
Sm 0.1158 0.1158 0.6526
Na 0.0000 0.0000 0.0000
Sm 0.8842 0.8842 0.3474
Ce 0.5000 0.5000 0.5000

***

ii) NaCeSm2 | PBE | relaxed

Its space-group type is No. 123. The value obtained for the density of states at the Fermi level is 5.2 states/eV/f.u.

Lattice parameters (Å, degrees): 3.5226 3.5226 10.6133 90.00 90.00 90.00
Each line ends with the local moment (μB).
Element x y z (fractional)
Sm 0.0000 0.0000 0.7757  0.00
Ce 0.5000 0.5000 0.0000  0.20
Sm 0.0000 0.0000 0.2243  0.00
Na 0.5000 0.5000 0.5000  0.00

***

Quick one: most stable of them? ii)